LiCrB4 | GGA-PBE | optimized geometry

Structure (CIF):
```
data_LiCrB4
_cell_length_a 3.016
_cell_length_b 3.154
_cell_length_c 10.102
_cell_angle_alpha 90.00
_cell_angle_beta 90.00
_cell_angle_gamma 90.00
_symmetry_space_group_name_H-M 'I m m 2'
_symmetry_Int_Tables_number 44
_symmetry_space_group_name_Hall 'I 2 -2'
loop_
_atom_site_label
_atom_site_fract_x
_atom_site_fract_y
_atom_site_fract_z
Li1 0.000 0.000 0.000
Cr1 0.000 0.500 0.283
B1 0.000 0.000 0.427
B2 0.000 0.248 0.639
B3 0.000 0.500 0.844
```

Summary:
- Calculated total energy: -6.3172 eV/atom
- Crystal system: orthorhombic